DFT (PBE) results for crystalline Tb4HoTm4 at its relaxed geometry.

Calculated values
Total DFT energy (no corrections) in eV/atom: -4.5322
Energy of formation from the pure elements in eV per atom: 0.022
Symmetry: I4/mmm, No. 139

a b c (Å): 7.8697 7.8697 7.8697
angles (deg): 95.71 95.71 143.24
Closest atoms and distances in Å follow each position.
Fractional positions:
Tb: 0.1669 0.1669 0.3338  4 Tb 3.51-3.53, 2 Ho 3.52, 6 Tm 3.52
Tb: 0.1669 0.8331 0.0000  4 Tb 3.51-3.53, 2 Ho 3.52, 6 Tm 3.52
Tb: 0.8331 0.1669 0.0000  4 Tb 3.51-3.53, 2 Ho 3.52, 6 Tm 3.52
Tb: 0.8331 0.8331 0.6662  4 Tb 3.51-3.53, 2 Ho 3.52, 6 Tm 3.52
Ho: 0.5000 0.5000 0.0000  8 Tb 3.52, 4 Tm 3.53
Tm: 0.1658 0.5000 0.6658  5 Tm 3.50-3.51, 6 Tb 3.52, 1 Ho 3.53
Tm: 0.5000 0.1658 0.6658  5 Tm 3.50-3.51, 6 Tb 3.52, 1 Ho 3.53
Tm: 0.5000 0.8342 0.3342  5 Tm 3.50-3.51, 6 Tb 3.52, 1 Ho 3.53
Tm: 0.8342 0.5000 0.3342  5 Tm 3.50-3.51, 6 Tb 3.52, 1 Ho 3.53

=====

DFT (PBE) results for crystalline Pm4Te3Cl4 at its relaxed geometry.

Calculated values
Total DFT energy (no corrections) in eV/atom: -5.0136
Symmetry: Immm, No. 71

a b c (Å): 9.7540 9.7540 9.7540
angles (deg): 155.95 126.88 59.11
Closest atoms and distances in Å follow each position.
Fractional positions:
Pm: 0.2211 0.0000 0.2211  2 Cl 3.11, 6 Te 3.17-3.29
Pm: 0.2455 0.2455 0.0000  6 Cl 2.92-2.95, 2 Te 3.18
Pm: 0.7545 0.7545 0.0000  6 Cl 2.92-2.95, 2 Te 3.18
Pm: 0.7789 0.0000 0.7789  2 Cl 3.11, 6 Te 3.17-3.29
Te: 0.1017 0.6017 0.5000  6 Pm 3.18-3.29, 1 Te 3.45
Te: 0.5000 0.5000 0.0000  4 Pm 3.17
Te: 0.8983 0.3983 0.5000  6 Pm 3.18-3.29, 1 Te 3.45
Cl: 0.1341 0.8227 0.3114  4 Pm 2.92-3.11
Cl: 0.4887 0.1773 0.3114  4 Pm 2.92-3.11
Cl: 0.5113 0.8227 0.6886  4 Pm 2.92-3.11
Cl: 0.8659 0.1773 0.6886  4 Pm 2.92-3.11

=====

DFT (PBE) results for crystalline ErH4Pd6 at its relaxed geometry.

Calculated values
Total DFT energy (no corrections) in eV/atom: -4.7748
Symmetry: Cm, No. 8

a b c (Å): 5.6749 5.6749 5.8545
angles (deg): 119.91 119.91 87.31
Closest atoms and distances in Å follow each position.
Fractional positions:
Er: 0.0000 0.0000 0.0000  2 H 2.42-2.44
H: 0.2921 0.2921 0.5739  4 Pd 1.92-2.08
H: 0.3220 0.6211 0.2362  3 Pd 1.72-1.84
H: 0.6211 0.3220 0.2362  3 Pd 1.72-1.84
H: 0.7872 0.7872 0.4413  3 Pd 1.74-1.95
Pd: 0.0387 0.0387 0.5326  2 H 1.74-1.92
Pd: 0.4785 0.4785 0.4859  3 H 1.84-1.92
Pd: 0.5024 0.9606 0.9902  1 H 1.72
Pd: 0.5140 0.9890 0.4986  2 H 1.80-1.95
Pd: 0.9606 0.5024 0.9902  1 H 1.72
Pd: 0.9890 0.5140 0.4986  2 H 1.80-1.95

=====

DFT (PBE) results for crystalline YSc2AgC at its relaxed geometry.

Calculated values
Total DFT energy (no corrections) in eV/atom: -6.5885
Energy of formation from the pure elements in eV per atom: -0.348
Symmetry: P4/mmm, No. 123

a b c (Å): 4.4897 4.4897 5.0252
angles (deg): 90.00 90.00 90.00
Closest atoms and distances in Å follow each position.
Fractional positions:
Y: 0.0000 0.0000 0.0000  2 C 2.51
Sc: 0.0000 0.5000 0.5000  2 C 2.24
Sc: 0.5000 0.0000 0.5000  2 C 2.24
Ag: 0.5000 0.5000 0.0000  4 Y 3.17, 8 Sc 3.37
C: 0.0000 0.0000 0.5000  4 Sc 2.24, 2 Y 2.51

=====

DFT (PBE) results for crystalline Cs2CaI6Br at its relaxed geometry.

Calculated values
Total DFT energy (no corrections) in eV/atom: -2.3953
Symmetry: I4/mmm, No. 139

a b c (Å): 9.2221 9.2221 9.2221
angles (deg): 124.33 124.33 82.65
Closest atoms and distances in Å follow each position.
Fractional positions:
Cs: 0.2500 0.7500 0.5000  12 I 4.33-4.61
Cs: 0.7500 0.2500 0.5000  12 I 4.33-4.61
Ca: 0.0000 0.0000 0.0000  6 I 3.03-3.14
I: 0.2186 0.2186 0.0000  1 Ca 3.03
I: 0.2580 0.2580 0.5160  1 Br 2.95, 1 Ca 3.14
I: 0.2580 0.7420 0.0000  1 Br 2.95, 1 Ca 3.14
I: 0.7420 0.2580 0.0000  1 Br 2.95, 1 Ca 3.14
I: 0.7420 0.7420 0.4840  1 Br 2.95, 1 Ca 3.14
I: 0.7814 0.7814 0.0000  1 Ca 3.03
Br: 0.5000 0.5000 0.0000  4 I 2.95

=====

DFT (PBE) results for crystalline TbYAsSe at its relaxed geometry.

Calculated values
Total DFT energy (no corrections) in eV/atom: -6.4582
Symmetry: R3m, No. 160

a b c (Å): 7.4677 7.4677 7.4677
angles (deg): 31.39 31.39 31.39
Closest atoms and distances in Å follow each position.
Fractional positions:
Tb: 0.0000 0.0000 0.0000  3 As 2.87, 3 Se 3.04
Y: 0.8199 0.8199 0.8199  3 As 2.82, 3 Se 3.00
As: 0.4118 0.4118 0.4118  3 Y 2.82, 3 Tb 2.87
Se: 0.2418 0.2418 0.2418  3 Y 3.00, 3 Tb 3.04

=====

DFT (PBE) results for crystalline ScFe2CoAu at its relaxed geometry.

Calculated values
Total DFT energy (no corrections) in eV/atom: -6.2445
Energy of formation from the pure elements in eV per atom: 0.484
Symmetry: P4/mmm, No. 123

a b c (Å): 4.3144 4.3144 4.8228
angles (deg): 90.00 90.00 90.00
Closest atoms and distances in Å follow each position.
Fractional positions:
Sc: 0.0000 0.0000 0.0000  4 Au 3.05, 8 Fe 3.24
Fe: 0.0000 0.5000 0.5000  2 Co 2.16
Fe: 0.5000 0.0000 0.5000  2 Co 2.16
Co: 0.5000 0.5000 0.5000  4 Fe 2.16, 2 Au 2.41
Au: 0.5000 0.5000 0.0000  2 Co 2.41

=====

DFT (PBE) results for crystalline Ac2LaPrTe5 at its relaxed geometry.

Calculated values
Total DFT energy (no corrections) in eV/atom: -4.7008
Symmetry: P4/mmm, No. 123

a b c (Å): 5.7372 5.7372 12.0474
angles (deg): 90.00 90.00 90.00
Closest atoms and distances in Å follow each position.
Fractional positions:
Ac: 0.0000 0.0000 0.1727  5 Te 3.54-3.94
Ac: 0.0000 0.0000 0.8273  5 Te 3.54-3.94
La: 0.5000 0.5000 0.5000  2 Te 2.97
Pr: 0.5000 0.5000 0.0000  6 Te 2.87-3.06
Te: 0.0000 0.0000 0.5000  2 Ac 3.94, 4 La 4.06
Te: 0.0000 0.5000 0.0000  2 Pr 2.87
Te: 0.5000 0.0000 0.0000  2 Pr 2.87
Te: 0.5000 0.5000 0.2538  1 La 2.97, 1 Pr 3.06
Te: 0.5000 0.5000 0.7462  1 La 2.97, 1 Pr 3.06

=====

DFT (PBE) results for crystalline K2SrFe at its relaxed geometry.

Calculated values
Total DFT energy (no corrections) in eV/atom: -2.4901
Relative energy among the computed polymorphs in eV/atom: 0.000
Energy of formation from the pure elements in eV per atom: 0.595
Symmetry: P4mm, No. 99

a b c (Å): 3.9670 3.9670 11.5700
angles (deg): 90.00 90.00 90.00
Closest atoms and distances in Å follow each position.
Fractional positions:
K: 0.0000 0.0000 0.0000  4 Fe 3.64, 4 K 3.97, 1 Sr 4.00
K: 0.5000 0.5000 0.3418  4 K 3.97
Sr: 0.0000 0.0000 0.6547  4 Fe 3.27
Fe: 0.5000 0.5000 0.7998  4 Sr 3.27, 4 K 3.64

=====

DFT (PBE) results for crystalline KMgScSe2 at its relaxed geometry.

Calculated values
Total DFT energy (no corrections) in eV/atom: -2.5257
Symmetry: P4/mmm, No. 123

a b c (Å): 5.6372 5.6372 4.8785
angles (deg): 90.00 90.00 90.00
Closest atoms and distances in Å follow each position.
Fractional positions:
K: 0.0000 0.0000 0.0000  2 Sc 2.44
Mg: 0.5000 0.5000 0.5000  8 Se 3.73, 4 Sc 3.99
Sc: 0.0000 0.0000 0.5000  2 K 2.44
Se: 0.0000 0.5000 0.0000  2 K 2.82
Se: 0.5000 0.0000 0.0000  2 K 2.82

=====

DFT (PBE) results for crystalline Cs4CdIn4 at its relaxed geometry.

Calculated values
Total DFT energy (no corrections) in eV/atom: -1.5790
Energy of formation from the pure elements in eV per atom: 0.119
Symmetry: I-42m, No. 121

a b c (Å): 10.1358 10.1358 10.1358
angles (deg): 134.07 134.07 66.98
Closest atoms and distances in Å follow each position.
Fractional positions:
Cs: 0.1899 0.1899 0.6361  3 In 3.90-3.91, 1 Cs 4.07, 1 Cd 4.17
Cs: 0.4462 0.8101 0.0000  3 In 3.90-3.91, 1 Cs 4.07, 1 Cd 4.17
Cs: 0.5538 0.5538 0.3639  3 In 3.90-3.91, 1 Cs 4.07, 1 Cd 4.17
Cs: 0.8101 0.4462 0.0000  3 In 3.90-3.91, 1 Cs 4.07, 1 Cd 4.17
Cd: 0.0000 0.0000 0.0000  4 In 2.88
In: 0.0002 0.0002 0.7162  1 Cd 2.88, 1 In 3.18
In: 0.9998 0.7160 0.0000  1 Cd 2.88, 1 In 3.18
In: 0.2840 0.2840 0.2838  1 Cd 2.88, 1 In 3.18
In: 0.7160 0.9998 0.0000  1 Cd 2.88, 1 In 3.18

=====

DFT (PBE) results for crystalline SrSnSb at its relaxed geometry.

Calculated values
Total DFT energy (no corrections) in eV/atom: -3.7501
Symmetry: Pnma, No. 62

a b c (Å): 8.1234 4.3262 11.3043
angles (deg): 90.00 90.00 90.00
Closest atoms and distances in Å follow each position.
Fractional positions:
Sr: 0.0049 0.2500 0.1854  4 Sb 3.43-3.60, 4 Sn 3.47-3.76
Sr: 0.4951 0.7500 0.6854  4 Sb 3.43-3.60, 4 Sn 3.47-3.76
Sr: 0.5049 0.2500 0.3146  4 Sb 3.43-3.60, 4 Sn 3.47-3.76
Sr: 0.9951 0.7500 0.8146  4 Sb 3.43-3.60, 4 Sn 3.47-3.76
Sn: 0.2030 0.7500 0.4178  3 Sb 3.00-3.20
Sn: 0.2970 0.2500 0.9178  3 Sb 3.00-3.20
Sn: 0.7030 0.7500 0.0822  3 Sb 3.00-3.20
Sn: 0.7970 0.2500 0.5822  3 Sb 3.00-3.20
Sb: 0.1894 0.2500 0.6018  3 Sn 3.00-3.20
Sb: 0.3106 0.7500 0.1018  3 Sn 3.00-3.20
Sb: 0.6894 0.2500 0.8982  3 Sn 3.00-3.20
Sb: 0.8106 0.7500 0.3982  3 Sn 3.00-3.20

=====

DFT (PBE) results for crystalline Li2NiH4Pd at its relaxed geometry.

Calculated values
Total DFT energy (no corrections) in eV/atom: -3.7641
Symmetry: P2/m, No. 10

a b c (Å): 4.7297 2.8588 4.8927
angles (deg): 90.00 109.51 90.00
Closest atoms and distances in Å follow each position.
Fractional positions:
Li: 0.0000 0.0000 0.0000  6 H 2.19-2.22
Li: 0.0000 0.5000 0.5000  6 H 2.01-2.05
Ni: 0.5000 0.0000 0.5000  6 H 1.71-1.81
H: 0.2942 0.0000 0.7279  1 Ni 1.71
H: 0.3043 0.5000 0.2943  2 Ni 1.81, 1 Pd 1.95, 1 Li 2.01
H: 0.6957 0.5000 0.7057  2 Ni 1.81, 1 Pd 1.95, 1 Li 2.01
H: 0.7058 0.0000 0.2721  1 Ni 1.71
Pd: 0.5000 0.5000 0.0000  6 H 1.95-1.97